Entry 1:
Compound: K2CrGeS4
Source: Alexandria via LeMat-Bulk
Functional: GGA-PBE
Structure: relaxed

Cell: 7.7255 8.0345 11.0594 Å, 90.00 90.00 90.00°
With the nearest neighbours (Å) after each atom.
Space group Imma (No. 74)
Symmetry-distinct sites (fractional):
K (0.0000, 0.0000, 0.0000) [4 per cell]  6 S 2.96
K (0.2500, 0.2500, 0.2500) [4 per cell]  6 S 3.11
Cr (0.2500, 0.2500, 0.7500) [4 per cell]  6 S 2.44-2.50
Ge (0.0000, 0.0000, 0.5000) [4 per cell]  6 S 2.64-2.66
S (0.0000, 0.0533, 0.7352) [8 per cell]  2 Cr 2.50, 1 Ge 2.64
S (0.2222, 0.2500, 0.5305) [8 per cell]  1 Cr 2.44, 2 Ge 2.66

Values from the calculation:
VASP energy = -4.8180 eV/atom
ΔE_f (raw) = -700 meV per atom


Entry 2:
Compound: KCrGeSe4
Source: Alexandria via LeMat-Bulk
Functional: GGA-PBE
Structure: relaxed

Cell: 6.6144 6.9843 8.3952 Å, 90.00 92.01 90.00°
With the nearest neighbours (Å) after each atom.
Space group P2_1/m (No. 11)
Symmetry-distinct sites (fractional):
K (0.2410, 0.2500, 0.0687) [2 per cell]  4 Se 3.22-3.54
Cr (0.1597, 0.7500, 0.4564) [2 per cell]  6 Se 2.53-2.67
Ge (0.3469, 0.2500, 0.6482) [2 per cell]  4 Se 2.33-2.45
Se (0.0865, 0.0062, 0.6827) [4 per cell]  1 Ge 2.45, 2 Cr 2.60-2.67
Se (0.3549, 0.7500, 0.1869) [2 per cell]  1 Ge 2.37, 1 Cr 2.64
Se (0.4971, 0.2500, 0.4019) [2 per cell]  1 Ge 2.33, 1 Cr 2.53

Values from the calculation:
VASP energy = -4.6893 eV/atom
ΔE_f (raw) = -507 meV per atom


Entry 3:
Compound: KTa2CrGe
Source: Alexandria via LeMat-Bulk
Functional: GGA-PBE
Structure: relaxed

Cell: 4.7416 4.7416 4.8431 Å, 90.00 90.00 90.00°
With the nearest neighbours (Å) after each atom.
Space group P4/mmm (No. 123)
Symmetry-distinct sites (fractional):
K (0.0000, 0.0000, 0.0000) [1 per cell]  4 Ge 3.35, 8 Ta 3.39
Ta (0.0000, 0.5000, 0.5000) [2 per cell]  2 Cr 2.37
Cr (0.5000, 0.5000, 0.5000) [1 per cell]  4 Ta 2.37, 2 Ge 2.42
Ge (0.5000, 0.5000, 0.0000) [1 per cell]  2 Cr 2.42

Values from the calculation:
Formation energy = 1075 meV per atom
VASP energy = -6.7339 eV/atom


Entry 4:
Compound: KCrGeTe3
Source: Alexandria via LeMat-Bulk
Functional: GGA-PBE
Structure: relaxed

Cell: 8.9667 3.9719 10.9291 Å, 90.00 111.95 90.00°
With the nearest neighbours (Å) after each atom.
Space group P2_1/m (No. 11)
Symmetry-distinct sites (fractional):
K (0.0744, 0.2500, 0.2750) [2 per cell]  1 Ge 3.45, 5 Te 3.58-3.65
Cr (0.4720, 0.7500, 0.8843) [2 per cell]  6 Te 2.56-2.86
Ge (0.4278, 0.2500, 0.5484) [2 per cell]  3 Te 2.68-2.78, 2 Ge 2.79
Te (0.2552, 0.7500, 0.6150) [2 per cell]  2 Ge 2.78, 1 Cr 2.86
Te (0.2794, 0.2500, 0.9014) [2 per cell]  3 Cr 2.56-2.68
Te (0.3703, 0.7500, 0.1990) [2 per cell]  1 Ge 2.68, 2 Cr 2.78

Values from the calculation:
VASP energy = -4.4176 eV/atom
ΔE_f (raw) = -290 meV per atom


Entry 5:
Compound: La3CrGe
Source: Alexandria via LeMat-Bulk
Functional: GGA-PBE
Structure: relaxed

Cell: 5.1770 5.1770 5.1770 Å, 90.00 90.00 90.00°
With the nearest neighbours (Å) after each atom.
Space group Pm-3m (No. 221)
Symmetry-distinct sites (fractional):
La (0.0000, 0.0000, 0.5000) [3 per cell]  2 Cr 2.59
Cr (0.0000, 0.0000, 0.0000) [1 per cell]  6 La 2.59
Ge (0.5000, 0.5000, 0.5000) [1 per cell]  12 La 3.66

Values from the calculation:
Formation energy = 31 meV per atom
VASP energy = -5.7738 eV/atom
Excess energy over the best structure of this formula in the dataset = 0 meV/atom


Entry 6:
Compound: LaCrGe2
Source: Alexandria via LeMat-Bulk
Functional: GGA-PBE
Structure: relaxed

Cell: 4.2870 4.2870 16.0576 Å, 90.00 90.00 120.00°
With the nearest neighbours (Å) after each atom.
Space group R-3m (No. 166, hexagonal axes)
Symmetry-distinct sites (fractional):
La (0.0000, 0.0000, 0.0000) [3 per cell]  6 Ge 3.09
Cr (0.0000, 0.0000, 0.5000) [3 per cell]  6 Ge 2.61
Ge (0.0000, 0.0000, 0.2180) [6 per cell]  3 Cr 2.61

Values from the calculation:
Formation energy = -398 meV per atom
VASP energy = -6.3448 eV/atom